(1)
The following is a DFT calculation (PBE) of UCoPt after structural relaxation. Values from VASP.

Summary:
Symmetry: No. 129
ΔH_f (0 K) in eV per atom: -0.25

Structure (Quantum ESPRESSO input):
```
&SYSTEM
  ibrav = 0, nat = 6, ntyp = 3
/
ATOMIC_SPECIES
U 238.03 U.upf
Co 58.93 Co.upf
Pt 195.08 Pt.upf
ATOMIC_POSITIONS crystal
U 0.000 0.500 0.227
U 0.500 0.000 0.773
Co 0.500 0.000 0.074
Co 0.000 0.500 0.926
Pt 0.500 0.000 0.404
Pt 0.000 0.500 0.596
CELL_PARAMETERS angstrom
-0.809 3.114 1.362
-2.468 0.424 -2.437
-5.671 -3.704 5.100
```

***

(2)
The following is a DFT calculation (PBE) of Zr3HgC after structural relaxation. Values from VASP.

Summary:
Offset from the most stable computed form in eV/f.u.: 0.784
Symmetry: No. 14
ΔH_f (0 K) in eV per atom: -0.35

Structure (Quantum ESPRESSO input):
```
&SYSTEM
  ibrav = 0, nat = 20, ntyp = 3
/
ATOMIC_SPECIES
Zr 91.22 Zr.upf
C 12.01 C.upf
Hg 200.59 Hg.upf
ATOMIC_POSITIONS crystal
Zr 0.351 0.428 0.242
Zr 0.297 0.920 0.947
Zr 0.149 0.928 0.258
Zr 0.649 0.572 0.758
Zr 0.083 0.375 0.906
Zr 0.851 0.072 0.742
Zr 0.797 0.580 0.447
Zr 0.703 0.080 0.053
Zr 0.203 0.420 0.553
Zr 0.417 0.875 0.594
Zr 0.583 0.125 0.406
Zr 0.917 0.625 0.094
C 0.470 0.255 0.337
C 0.970 0.245 0.837
C 0.030 0.755 0.163
C 0.530 0.745 0.663
Hg 0.000 0.828 0.601
Hg 0.500 0.672 0.101
Hg 0.500 0.328 0.899
Hg 0.000 0.172 0.399
CELL_PARAMETERS angstrom
-10.907 -7.337 20.110
-0.266 -5.516 -2.157
6.490 2.169 -6.348
```

***

(3)
The following is a DFT calculation (PBE) of Pr5MgCd after structural relaxation. Values from VASP.

Summary:
Symmetry: No. 15
ΔH_f (0 K) in eV per atom: -0.01

Structure (Quantum ESPRESSO input):
```
&SYSTEM
  ibrav = 0, nat = 14, ntyp = 3
/
ATOMIC_SPECIES
Pr 140.91 Pr.upf
Mg 24.30 Mg.upf
Cd 112.41 Cd.upf
ATOMIC_POSITIONS crystal
Pr 0.826 0.657 0.087
Pr 0.174 0.343 0.913
Pr 0.657 0.826 0.587
Pr 0.055 0.663 0.442
Pr 0.263 0.737 0.750
Pr 0.945 0.337 0.558
Pr 0.343 0.174 0.413
Pr 0.337 0.945 0.058
Pr 0.663 0.055 0.942
Pr 0.737 0.263 0.250
Mg 0.560 0.440 0.750
Mg 0.440 0.560 0.250
Cd 0.000 0.000 0.000
Cd 0.000 0.000 0.500
CELL_PARAMETERS angstrom
-6.910 5.449 3.746
-7.181 -6.167 1.373
-1.504 -1.167 5.881
```

***

(4)
The following is a DFT calculation (PBE) of RePt2Se after structural relaxation. Values from VASP.

Summary:
Symmetry: No. 47
Formation energy (no corrections) in kJ/mol of formula units: 3

Structure (Quantum ESPRESSO input):
```
&SYSTEM
  ibrav = 0, nat = 4, ntyp = 3
/
ATOMIC_SPECIES
Pt 195.08 Pt.upf
Re 186.21 Re.upf
Se 78.96 Se.upf
ATOMIC_POSITIONS crystal
Pt 0.000 0.749 0.030
Pt 0.000 0.751 0.470
Re 0.500 0.250 0.250
Se 0.500 0.750 0.750
CELL_PARAMETERS angstrom
-1.507 2.036 1.266
-0.645 -1.752 2.050
6.947 2.473 4.289
```

***

(5)
The following is a DFT calculation (PBE) of TiI4 after structural relaxation. Values from VASP.

Summary:
Offset from the most stable computed form in eV/f.u.: 2.176
Symmetry: No. 221
Formation energy (no corrections) in kJ/mol of formula units: -132

Structure (Quantum ESPRESSO input):
```
&SYSTEM
  ibrav = 0, nat = 5, ntyp = 2
/
ATOMIC_SPECIES
I 126.90 I.upf
Ti 47.87 Ti.upf
ATOMIC_POSITIONS crystal
I 0.500 0.500 0.000
I 0.000 0.000 0.000
I 0.500 0.000 0.500
I 0.000 0.500 0.500
Ti 0.500 0.500 0.500
CELL_PARAMETERS angstrom
-1.899 4.893 -1.867
-3.432 0.338 4.375
3.956 2.642 2.899
```

***

(6)
The following is a DFT calculation (PBE) of CdPt after structural relaxation. Values from VASP.

Summary:
Symmetry: No. 217
ΔH_f (0 K) in eV per atom: 0.30

Structure (Quantum ESPRESSO input):
```
&SYSTEM
  ibrav = 0, nat = 16, ntyp = 2
/
ATOMIC_SPECIES
Cd 112.41 Cd.upf
Pt 195.08 Pt.upf
ATOMIC_POSITIONS crystal
Cd 0.199 0.801 0.801
Cd 0.801 0.199 0.801
Cd 0.301 0.699 0.301
Cd 0.301 0.301 0.699
Cd 0.699 0.699 0.699
Cd 0.801 0.801 0.199
Cd 0.199 0.199 0.199
Cd 0.699 0.301 0.301
Pt 0.118 0.882 0.118
Pt 0.618 0.618 0.382
Pt 0.382 0.382 0.382
Pt 0.118 0.118 0.882
Pt 0.618 0.382 0.618
Pt 0.882 0.118 0.118
Pt 0.382 0.618 0.618
Pt 0.882 0.882 0.882
CELL_PARAMETERS angstrom
-4.857 -5.267 -4.024
-3.164 -2.542 7.145
-5.825 5.773 -0.525
```

***

(7)
The following is a DFT calculation (PBE) of Cs2SnPbI6 after structural relaxation. Values from VASP.

Summary:
Symmetry: No. 225
Formation energy (no corrections) in kJ/mol of formula units: -934

Structure (Quantum ESPRESSO input):
```
&SYSTEM
  ibrav = 0, nat = 10, ntyp = 4
/
ATOMIC_SPECIES
Cs 132.91 Cs.upf
Pb 207.20 Pb.upf
I 126.90 I.upf
Sn 118.71 Sn.upf
ATOMIC_POSITIONS crystal
Cs 0.250 0.750 0.500
Cs 0.750 0.250 0.500
Pb 0.000 0.000 0.000
I 0.252 0.252 0.000
I 0.748 0.748 0.000
I 0.252 0.748 0.000
I 0.252 0.252 0.495
I 0.748 0.748 0.505
I 0.748 0.252 0.000
Sn 0.500 0.500 0.000
CELL_PARAMETERS angstrom
8.951 0.000 0.000
0.000 8.951 0.000
4.476 4.476 6.328
```

***

(8)
The following is a DFT calculation (PBE) of ScCd2Pt after structural relaxation. Values from VASP.

Summary:
Symmetry: No. 10
ΔH_f (0 K) in eV per atom: -0.38

Structure (Quantum ESPRESSO input):
```
&SYSTEM
  ibrav = 0, nat = 4, ntyp = 3
/
ATOMIC_SPECIES
Cd 112.41 Cd.upf
Sc 44.96 Sc.upf
Pt 195.08 Pt.upf
ATOMIC_POSITIONS crystal
Cd 0.000 0.103 0.012
Cd 0.000 0.397 0.488
Sc 0.500 0.750 0.750
Pt 0.500 0.250 0.250
CELL_PARAMETERS angstrom
-1.706 2.623 3.784
-2.838 -0.479 -0.947
-1.182 -4.541 2.614
```